Density functional theory data (GGA+U) for a relaxed structure of MgNiPO5.

Calculated volume in Å³/atom: 10.93
Density of states at the Fermi level in states/eV per cell: 2.1
Total DFT energy (no corrections) in eV/atom: -6.1925

The structure in CIF format:
```
data_MgNiPO5
_symmetry_space_group_name_H-M 'C 1 c 1'
_symmetry_Int_Tables_number 9
_cell_length_a 6.7680
_cell_length_b 8.2067
_cell_length_c 6.8622
_cell_angle_alpha 90.00
_cell_angle_beta 113.40
_cell_angle_gamma 90.00
loop_
_symmetry_equiv_pos_as_xyz
'x,y,z'
'x,-y,z+1/2'
'x+1/2,y+1/2,z'
'x+1/2,-y+1/2,z+1/2'
loop_
_atom_site_label
_atom_site_type_symbol
_atom_site_fract_x
_atom_site_fract_y
_atom_site_fract_z
Mg1 Mg 0.0000 0.1754 0.0000
Ni1 Ni 0.0625 0.4928 0.8059
P1 P 0.0761 0.1555 0.5585
O1 O 0.0019 0.2498 0.7131
O2 O 0.0634 0.4120 0.0597
O3 O 0.1751 0.2749 0.4458
O4 O 0.2325 0.0147 0.6764
O5 O 0.3868 0.4426 0.8924
```